Entry 1:
Here is a relaxed NiTe6Pd crystal from Alexandria. Energies are from PBE.

## Properties
Raw total energy in eV/atom: -3.86
SG: R-3, No. 148
ΔE_f (raw) in meV/atom: -127

a = 6.6265 Å, b = 6.6271 Å, c = 6.5388 Å
α = 59.51°, β = 59.54°, γ = 60.00°
Closest atoms and distances in Å follow each position.
Atoms (fractional coordinates):
Pd (0.5000, 0.5000, 0.5000)  6 Te 2.73
Te (0.5604, 0.2377, 0.2468)  1 Ni 2.61, 1 Pd 2.73
Te (0.4396, 0.7623, 0.7532)  1 Ni 2.61, 1 Pd 2.73
Te (0.9555, 0.5600, 0.2469)  1 Ni 2.61, 1 Pd 2.73
Te (0.2381, 0.9555, 0.2462)  1 Ni 2.61, 1 Pd 2.73
Te (0.7619, 0.0445, 0.7538)  1 Ni 2.61, 1 Pd 2.73
Te (0.0445, 0.4400, 0.7531)  1 Ni 2.61, 1 Pd 2.73
Ni (0.0000, 0.0000, 0.0000)  6 Te 2.61

---

Entry 2:
Here is a relaxed NiTe4Pd5 crystal from Alexandria. Energies are from PBE.

## Properties
Raw total energy in eV/atom: -4.65
SG: C2/m, No. 12
ΔE_f (raw) in meV/atom: -217

a = 3.7281 Å, b = 7.1502 Å, c = 8.6352 Å
α = 119.31°, β = 102.47°, γ = 90.00°
Closest atoms and distances in Å follow each position.
Atoms (fractional coordinates):
Pd (0.7588, 0.6514, 0.5176)  3 Te 2.72-2.78, 4 Pd 2.76-2.89
Pd (0.2412, 0.3486, 0.4824)  3 Te 2.72-2.78, 4 Pd 2.76-2.89
Pd (0.8514, 0.2677, 0.7028)  4 Te 2.67-2.85, 4 Pd 2.89
Pd (0.5000, 0.5000, 0.0000)  4 Pd 2.89, 4 Te 2.93
Pd (0.1486, 0.7323, 0.2972)  4 Te 2.67-2.85, 4 Pd 2.89
Ni (0.5000, 0.0000, 0.0000)  6 Te 2.57-2.64
Te (0.3440, 0.9825, 0.6880)  1 Ni 2.57, 5 Pd 2.72-2.85
Te (0.9292, 0.6973, 0.8583)  2 Ni 2.64, 4 Pd 2.67-2.93
Te (0.0708, 0.3027, 0.1417)  2 Ni 2.64, 4 Pd 2.67-2.93
Te (0.6560, 0.0175, 0.3120)  1 Ni 2.57, 5 Pd 2.72-2.85

---

Entry 3:
Here is a relaxed NiTe3Pd3 crystal from Alexandria. Energies are from PBE.

## Properties
Raw total energy in eV/atom: -4.72
SG: Cmce, No. 64
ΔE_f (raw) in meV/atom: -321

a = 6.2612 Å, b = 8.7270 Å, c = 10.9334 Å
α = 90.00°, β = 90.00°, γ = 111.02°
Closest atoms and distances in Å follow each position.
Atoms (fractional coordinates):
Te (0.8884, 0.3497, 0.3668)  1 Ni 2.50, 2 Pd 2.67-2.80
Te (0.2733, 0.0000, 0.3490)  2 Ni 2.54, 4 Pd 2.68-2.73
Te (0.4613, 0.3497, 0.6332)  1 Ni 2.50, 2 Pd 2.67-2.80
Te (0.3884, 0.3497, 0.1332)  1 Ni 2.50, 2 Pd 2.67-2.80
Te (0.2267, 0.0000, 0.8490)  2 Ni 2.54, 4 Pd 2.68-2.73
Te (0.7733, 0.0000, 0.1510)  2 Ni 2.54, 4 Pd 2.68-2.73
Te (0.5387, 0.6503, 0.3668)  1 Ni 2.50, 2 Pd 2.67-2.80
Te (0.0387, 0.6503, 0.1332)  1 Ni 2.50, 2 Pd 2.67-2.80
Te (0.1116, 0.6503, 0.6332)  1 Ni 2.50, 2 Pd 2.67-2.80
Te (0.9613, 0.3497, 0.8668)  1 Ni 2.50, 2 Pd 2.67-2.80
Te (0.7267, 0.0000, 0.6510)  2 Ni 2.54, 4 Pd 2.68-2.73
Te (0.6116, 0.6503, 0.8668)  1 Ni 2.50, 2 Pd 2.67-2.80
Pd (0.2927, 0.3134, 0.3884)  5 Te 2.67-2.85, 1 Ni 2.87, 1 Pd 2.98
Pd (0.2073, 0.6866, 0.8884)  5 Te 2.67-2.85, 1 Ni 2.87, 1 Pd 2.98
Pd (0.3535, 0.0000, 0.1038)  5 Te 2.68-3.00, 2 Ni 2.81, 1 Pd 2.92
Pd (0.0206, 0.3134, 0.6116)  5 Te 2.67-2.85, 1 Ni 2.87, 1 Pd 2.98
Pd (0.7073, 0.6866, 0.6116)  5 Te 2.67-2.85, 1 Ni 2.87, 1 Pd 2.98
Pd (0.8535, 0.0000, 0.3962)  5 Te 2.68-3.00, 2 Ni 2.81, 1 Pd 2.92
Pd (0.1465, 0.0000, 0.6038)  5 Te 2.68-3.00, 2 Ni 2.81, 1 Pd 2.92
Pd (0.5206, 0.3134, 0.8884)  5 Te 2.67-2.85, 1 Ni 2.87, 1 Pd 2.98
Pd (0.4794, 0.6866, 0.1116)  5 Te 2.67-2.85, 1 Ni 2.87, 1 Pd 2.98
Pd (0.7927, 0.3134, 0.1116)  5 Te 2.67-2.85, 1 Ni 2.87, 1 Pd 2.98
Pd (0.9794, 0.6866, 0.3884)  5 Te 2.67-2.85, 1 Ni 2.87, 1 Pd 2.98
Pd (0.6465, 0.0000, 0.8962)  5 Te 2.68-3.00, 2 Ni 2.81, 1 Pd 2.92
Ni (0.9192, 0.8383, 0.0000)  4 Te 2.50-2.54, 1 Ni 2.63
Ni (0.4192, 0.8383, 0.5000)  4 Te 2.50-2.54, 1 Ni 2.63
Ni (0.5808, 0.1617, 0.5000)  4 Te 2.50-2.54, 1 Ni 2.63
Ni (0.0808, 0.1617, 0.0000)  4 Te 2.50-2.54, 1 Ni 2.63

---

Entry 4:
Here is a relaxed NiTePd14 crystal from Alexandria. Energies are from PBE.

## Properties
Raw total energy in eV/atom: -5.14
SG: Amm2, No. 38
ΔE_f (raw) in meV/atom: -37

a = 5.5854 Å, b = 5.5852 Å, c = 9.1664 Å
α = 90.00°, β = 90.00°, γ = 119.34°
Closest atoms and distances in Å follow each position.
Atoms (fractional coordinates):
Pd (0.8756, 0.1242, 0.7488)  11 Pd 2.77-2.84, 1 Ni 2.82
Pd (0.5513, 0.9464, 0.5000)  2 Ni 2.75-2.84, 2 Te 2.76-2.82, 8 Pd 2.78-2.83
Pd (0.8756, 0.1242, 0.2512)  11 Pd 2.77-2.84, 1 Ni 2.82
Pd (0.0540, 0.4483, 0.5000)  2 Ni 2.75-2.84, 2 Te 2.76-2.82, 8 Pd 2.78-2.83
Pd (0.3708, 0.1247, 0.7440)  1 Ni 2.74, 1 Te 2.75, 10 Pd 2.77-2.86
Pd (0.3724, 0.6276, 0.7546)  11 Pd 2.77-2.82, 1 Te 2.89
Pd (0.2025, 0.2963, 0.0000)  12 Pd 2.77-2.86
Pd (0.7028, 0.2971, 0.0000)  12 Pd 2.79-2.85
Pd (0.8754, 0.6290, 0.7441)  1 Ni 2.74, 1 Te 2.74, 10 Pd 2.77-2.86
Pd (0.3724, 0.6276, 0.2454)  11 Pd 2.77-2.82, 1 Te 2.89
Pd (0.2008, 0.7994, 0.0000)  12 Pd 2.77-2.83
Pd (0.8754, 0.6290, 0.2559)  1 Ni 2.74, 1 Te 2.74, 10 Pd 2.77-2.86
Pd (0.3708, 0.1247, 0.2560)  1 Ni 2.74, 1 Te 2.75, 10 Pd 2.77-2.86
Pd (0.7037, 0.7974, 0.0000)  12 Pd 2.77-2.86
Te (0.5499, 0.4511, 0.5000)  10 Pd 2.74-2.89, 2 Ni 2.82
Ni (0.0466, 0.9530, 0.5000)  10 Pd 2.74-2.84, 2 Te 2.82

---

Entry 5:
Here is a relaxed Ni4Te9Pd2 crystal from Alexandria. Energies are from PBE.

## Properties
Raw total energy in eV/atom: -4.34
SG: P-3c1, No. 165
ΔE_f (raw) in meV/atom: -218

a = 6.8253 Å, b = 6.8252 Å, c = 17.0361 Å
α = 90.00°, β = 90.00°, γ = 60.00°
Closest atoms and distances in Å follow each position.
Atoms (fractional coordinates):
Te (0.3704, 0.9755, 0.9177)  3 Ni 2.60-2.67, 1 Pd 2.72
Te (0.3459, 0.6296, 0.0823)  3 Ni 2.60-2.67, 1 Pd 2.72
Te (0.0245, 0.6296, 0.5823)  3 Ni 2.60-2.67, 1 Pd 2.72
Te (0.6766, 0.3234, 0.2500)  2 Ni 2.59, 2 Pd 2.78
Te (0.9755, 0.6542, 0.9178)  3 Ni 2.60-2.67, 1 Pd 2.72
Te (0.3233, 0.0000, 0.2500)  2 Ni 2.59, 2 Pd 2.78
Te (0.6297, 0.3458, 0.5822)  3 Ni 2.60-2.67, 1 Pd 2.72
Te (0.0001, 0.3234, 0.7500)  2 Ni 2.59, 2 Pd 2.78
Te (0.6541, 0.9755, 0.4177)  3 Ni 2.60-2.67, 1 Pd 2.72
Te (0.3459, 0.0245, 0.5823)  3 Ni 2.60-2.67, 1 Pd 2.72
Te (0.9999, 0.6766, 0.2500)  2 Ni 2.59, 2 Pd 2.78
Te (0.3703, 0.6542, 0.4178)  3 Ni 2.60-2.67, 1 Pd 2.72
Te (0.6767, 0.0000, 0.7500)  2 Ni 2.59, 2 Pd 2.78
Te (0.3234, 0.6766, 0.7500)  2 Ni 2.59, 2 Pd 2.78
Te (0.0245, 0.3458, 0.0822)  3 Ni 2.60-2.67, 1 Pd 2.72
Te (0.6296, 0.0245, 0.0823)  3 Ni 2.60-2.67, 1 Pd 2.72
Te (0.9755, 0.3704, 0.4177)  3 Ni 2.60-2.67, 1 Pd 2.72
Te (0.6541, 0.3704, 0.9177)  3 Ni 2.60-2.67, 1 Pd 2.72
Pd (0.0000, 0.0000, 0.3488)  6 Te 2.72-2.78
Pd (0.0000, 0.0000, 0.6512)  6 Te 2.72-2.78
Pd (0.0000, 0.0000, 0.8488)  6 Te 2.72-2.78
Pd (0.0000, 0.0000, 0.1512)  6 Te 2.72-2.78
Ni (0.3333, 0.3333, 0.4860)  6 Te 2.60-2.64
Ni (0.3333, 0.3333, 0.1813)  6 Te 2.59-2.67
Ni (0.6667, 0.6667, 0.8187)  6 Te 2.59-2.67
Ni (0.3334, 0.3333, 0.9860)  6 Te 2.60-2.64
Ni (0.3334, 0.3333, 0.6813)  6 Te 2.59-2.67
Ni (0.6666, 0.6667, 0.0140)  6 Te 2.60-2.64
Ni (0.6666, 0.6667, 0.3187)  6 Te 2.59-2.67
Ni (0.6667, 0.6667, 0.5140)  6 Te 2.60-2.64

---

Entry 6:
Here is a relaxed NiTe2Pd crystal from Alexandria. Energies are from PBE.

## Properties
Raw total energy in eV/atom: -4.47
SG: R3m, No. 160
ΔE_f (raw) in meV/atom: -154

a = 3.9257 Å, b = 3.9257 Å, c = 6.6347 Å
α = 72.79°, β = 72.79°, γ = 60.00°
Closest atoms and distances in Å follow each position.
Atoms (fractional coordinates):
Ni (0.6604, 0.6604, 0.0189)  6 Te 2.59-2.68, 1 Pd 2.82
Te (0.2596, 0.2596, 0.2212)  3 Ni 2.59, 3 Pd 2.75
Te (0.0702, 0.0702, 0.7893)  3 Ni 2.68
Pd (0.5098, 0.5098, 0.4705)  6 Te 2.75-3.01, 1 Ni 2.82